Density functional theory data (GGA-PBE) for crystalline CaNi2 at its relaxed geometry.

a = 5.714 Å, b = 5.714 Å, c = 5.714 Å
α = 131.34°, β = 131.34°, γ = 71.27°
Atoms (fractional coordinates):
Ca (0.750, 0.750, 0.000)
Ca (0.250, 0.250, 0.000)
Ni (0.821, 0.321, 0.142)
Ni (0.179, 0.679, 0.858)
Ni (0.321, 0.179, 0.500)
Ni (0.679, 0.821, 0.500)

Summary:
E_tot: -27.472 eV for the cell shown
calculated formation energy: -6 kJ/mol of atoms